No. 1
NiS2 | GGA-PBE | relaxed

It has space group P6/mmm (No. 191), with a = 4.4270 Å, b = 4.4270 Å, c = 2.5154 Å, α = 90.00°, β = 90.00° and γ = 120.00°. The asymmetric unit holds Ni at (0.0000, 0.0000, 0.0000) and S at (0.3333, 0.6667, 0.5000).

The calculation puts the formation energy from raw total energies at 0.8392 eV per atom. The value obtained for the total magnetization is 0.0 μB per cell.

***

No. 2
Ni3S | GGA-PBE | relaxed

It has space group P4mm (No. 99), with a = 3.5302 Å, b = 3.5302 Å, c = 3.8378 Å, α = 90.00°, β = 90.00° and γ = 90.00°. The asymmetric unit holds Ni at (0.0000, 0.0000, 0.0000), Ni at (0.0000, 0.5000, 0.4786) and S at (0.5000, 0.5000, 0.8164).

The calculation puts the formation energy from raw total energies at 0.0895 eV per atom. The value obtained for the total magnetization is 0.0 μB per cell.

***

No. 3
NiS4 | GGA-PBE | relaxed

It has space group P-1 (No. 2), with a = 3.6019 Å, b = 4.0901 Å, c = 7.7818 Å, α = 96.78°, β = 92.44° and γ = 106.49°. The asymmetric unit holds Ni at (0.0000, 0.0000, 0.0000), S at (0.3179, 0.4384, 0.5854) and S at (0.4655, 0.9357, 0.8425).

The calculation puts the formation energy from raw total energies at 0.1519 eV per atom. The value obtained for the total magnetization is 0.0 μB per cell.

***

No. 4
NiS2 | GGA-PBE | relaxed

It has space group Pa-3 (No. 205), with a = 5.6146 Å, b = 5.6146 Å, c = 5.6146 Å, α = 90.00°, β = 90.00° and γ = 90.00°. The asymmetric unit holds Ni at (0.0000, 0.0000, 0.0000) and S at (0.1069, 0.6069, 0.8931).

The calculation puts the formation energy from raw total energies at -0.2399 eV per atom. The value obtained for the total magnetization is 0.0 μB per cell.

***

No. 5
Ni3S | GGA-PBE | relaxed

It has space group P1 (No. 1), with a = 4.1042 Å, b = 4.1090 Å, c = 5.7749 Å, α = 101.14°, β = 90.27° and γ = 99.38°. The asymmetric unit holds Ni at (0.0000, 0.0000, 0.0000), Ni at (0.0069, 0.0871, 0.5515), Ni at (0.1012, 0.5421, 0.2831), Ni at (0.4660, 0.8776, 0.7474), Ni at (0.5160, 0.0859, 0.2911), Ni at (0.5820, 0.4628, 0.0036), S at (0.0909, 0.4823, 0.8624) and S at (0.6240, 0.6399, 0.4143).

The calculation puts the formation energy from raw total energies at -0.1203 eV per atom. The value obtained for the total magnetization is 0.0 μB per cell.

***

No. 6
NiS2 | GGA-PBE | relaxed

It has space group I-42d (No. 122), with a = 5.0506 Å, b = 5.0506 Å, c = 8.9746 Å, α = 90.00°, β = 90.00° and γ = 90.00°. The asymmetric unit holds Ni at (0.0000, 0.0000, 0.0000) and S at (0.2478, 0.2500, 0.6250).

The calculation puts the formation energy from raw total energies at 0.1219 eV per atom. The value obtained for the total magnetization is 0.0 μB per cell.

***

No. 7
NiS2 | GGA-PBE | relaxed

It has space group Fm-3m (No. 225), with a = 5.6963 Å, b = 5.6963 Å, c = 5.6963 Å, α = 90.00°, β = 90.00° and γ = 90.00°. The asymmetric unit holds Ni at (0.0000, 0.0000, 0.0000) and S at (0.2500, 0.2500, 0.2500).

The calculation puts the formation energy from raw total energies at 0.2078 eV per atom. The value obtained for the total magnetization is 2.5 μB per cell.

***

No. 8
NiS2 | GGA-PBE | relaxed

It has space group P4/nmm (No. 129, origin choice 2), with a = 3.2268 Å, b = 3.2268 Å, c = 10.5747 Å, α = 90.00°, β = 90.00° and γ = 90.00°. The asymmetric unit holds Ni at (0.2500, 0.2500, 0.0717), S at (0.2500, 0.2500, 0.8611) and S at (0.2500, 0.7500, 0.5000).

The calculation puts the formation energy from raw total energies at 0.0507 eV per atom. The value obtained for the total magnetization is 0.0 μB per cell.

***

| no. | VASP energy (eV/atom) |
| --- | --- |
| 1 | -3.840 |
| 2 | -5.278 |
| 3 | -4.306 |
| 4 | -4.919 |
| 5 | -5.488 |
| 6 | -4.557 |
| 7 | -4.471 |
| 8 | -4.628 |